1.
Below is Te2PbCN after structural relaxation, with properties calculated at the PBE level.

Values from the calculation:
For the volume, the calculation gives 162.7 Å³/cell. The value obtained for the total moment is 2.0 μB per cell. The uncorrected formation energy comes out at 2455 meV/atom.

Unit cell a=6.023 b=6.023 c=4.486 alpha=90.00 beta=90.00 gamma=90.00
Site moments in Bohr magnetons follow the coordinates.
Element x y z (fractional)
Te  0.000  0.500  0.000  -0.33
Te  0.500  0.000  0.000  -0.33
Pb  0.000  0.000  0.000  0.00
C  0.500  0.500  0.500  0.82
N  0.000  0.000  0.500  1.02



2.
Below is AlZnRe after structural relaxation, with properties calculated at the PBE level.

Values from the calculation:
For the volume, the calculation gives 43.6 Å³/cell. The value obtained for the total moment is 0.0 μB per cell. Its energy of formation from the pure elements is 133 meV/atom.

Unit cell a=4.926 b=4.926 c=4.926 alpha=142.73 beta=142.73 gamma=53.74
Element x y z (fractional)
Al  0.994  0.994  0.000
Re  0.336  0.336  0.000
Zn  0.670  0.670  0.000



3.
Below is MgAgSn2Se4 after structural relaxation, with properties calculated at the PBE level.

Values from the calculation:
For the volume, the calculation gives 192.5 Å³/cell. The value obtained for the total moment is 0.0 μB per cell. The uncorrected formation energy comes out at -539 meV/atom.

Unit cell a=4.079 b=7.000 c=7.152 alpha=70.50 beta=90.00 gamma=90.00
Element x y z (fractional)
Ag  0.500  0.500  0.000
Se  0.500  0.270  0.732
Se  0.500  0.730  0.268
Se  0.000  0.735  0.744
Se  0.000  0.265  0.256
Sn  0.000  0.000  0.000
Sn  0.500  0.000  0.500
Mg  0.000  0.500  0.500



no.,calculated density (g cm⁻³)
1,4.98
2,10.62
3,5.91